No. 1
This record from Alexandria via LeMat-Bulk describes a relaxed Ac5Tm4Pb4 crystal. The functional is PBE-GGA.

Unit cell a=4.790 b=10.092 c=10.092 alpha=86.77 beta=76.27 gamma=76.27
Positions (direct):
1 Tm 0.906 0.510 0.678
2 Tm 0.094 0.490 0.322
3 Tm 0.584 0.322 0.510
4 Tm 0.416 0.678 0.490
5 Pb 0.752 0.313 0.183
6 Pb 0.935 0.817 0.313
7 Pb 0.065 0.183 0.687
8 Pb 0.248 0.687 0.817
9 Ac 0.705 0.924 0.666
10 Ac 0.000 0.000 0.000
11 Ac 0.371 0.334 0.924
12 Ac 0.295 0.076 0.334
13 Ac 0.629 0.666 0.076

Values from the calculation:
ΔH_f (0 K)   -0.38 eV/atom
Crystal system   tetragonal
Total energy   -4.4779 eV per atom
M_tot   1.5 μB/cell

No. 2
This record from Alexandria via LeMat-Bulk describes a relaxed Ac5Tm2Pb4 crystal. The functional is PBE-GGA.

Unit cell a=4.695 b=8.265 c=12.075 alpha=110.16 beta=101.21 gamma=90.00
Positions (direct):
1 Pb 0.288 0.289 0.577
2 Pb 0.000 0.699 0.001
3 Pb 0.000 0.301 0.999
4 Pb 0.712 0.711 0.423
5 Ac 0.500 0.000 0.000
6 Ac 0.840 0.071 0.680
7 Ac 0.160 0.389 0.319
8 Ac 0.840 0.611 0.681
9 Ac 0.160 0.929 0.320
10 Tm 0.427 0.428 0.853
11 Tm 0.573 0.572 0.147

Values from the calculation:
ΔH_f (0 K)   -0.28 eV/atom
Crystal system   monoclinic
Total energy   -4.3092 eV per atom
M_tot   0.0 μB/cell

No. 3
This record from Alexandria via LeMat-Bulk describes a relaxed AcTm5Pb6 crystal. The functional is PBE-GGA.

Unit cell a=8.717 b=6.202 c=8.252 alpha=67.92 beta=79.48 gamma=60.94
Positions (direct):
1 Tm 0.500 0.500 0.000
2 Tm 0.000 0.673 0.653
3 Tm 0.500 0.151 0.698
4 Tm 0.500 0.849 0.302
5 Tm 0.000 0.327 0.347
6 Pb 0.271 0.548 0.352
7 Pb 0.729 0.100 0.352
8 Pb 0.761 0.709 0.000
9 Pb 0.729 0.452 0.648
10 Pb 0.271 0.900 0.648
11 Pb 0.239 0.291 0.000
12 Ac 0.000 0.000 0.000

Values from the calculation:
ΔH_f (0 K)   -0.38 eV/atom
Crystal system   monoclinic
Total energy   -4.4398 eV per atom
M_tot   0.0 μB/cell

No. 4
This record from Alexandria via LeMat-Bulk describes a relaxed Ac12TmPb6 crystal. The functional is PBE-GGA.

Unit cell a=9.678 b=9.678 c=9.678 alpha=100.70 beta=100.70 gamma=100.70
Positions (direct):
1 Ac 0.033 0.674 0.936
2 Ac 0.674 0.936 0.033
3 Ac 0.064 0.967 0.326
4 Ac 0.813 0.585 0.448
5 Ac 0.326 0.064 0.967
6 Ac 0.448 0.813 0.585
7 Ac 0.967 0.326 0.064
8 Ac 0.415 0.552 0.187
9 Ac 0.585 0.448 0.813
10 Ac 0.936 0.033 0.674
11 Ac 0.552 0.187 0.415
12 Ac 0.187 0.415 0.552
13 Pb 0.314 0.127 0.636
14 Pb 0.873 0.364 0.686
15 Pb 0.364 0.686 0.873
16 Pb 0.127 0.636 0.314
17 Pb 0.636 0.314 0.127
18 Pb 0.686 0.873 0.364
19 Tm 0.000 0.000 0.000

Values from the calculation:
ΔH_f (0 K)   -0.10 eV/atom
Crystal system   trigonal
Total energy   -4.0975 eV per atom
M_tot   0.0 μB/cell

No. 5
This record from Alexandria via LeMat-Bulk describes a relaxed Ac4TmPb4 crystal. The functional is PBE-GGA.

Unit cell a=6.982 b=9.920 c=9.920 alpha=90.00 beta=90.00 gamma=90.00
Positions (direct):
1 Pb 0.846 0.737 0.092
2 Pb 0.346 0.592 0.763
3 Pb 0.654 0.237 0.592
4 Pb 0.846 0.263 0.908
5 Pb 0.154 0.092 0.263
6 Pb 0.346 0.408 0.237
7 Pb 0.154 0.908 0.737
8 Pb 0.654 0.763 0.408
9 Ac 0.141 0.776 0.429
10 Ac 0.859 0.429 0.224
11 Ac 0.359 0.724 0.071
12 Ac 0.641 0.071 0.276
13 Ac 0.141 0.224 0.571
14 Ac 0.641 0.929 0.724
15 Ac 0.859 0.571 0.776
16 Ac 0.359 0.276 0.929
17 Tm 0.000 0.000 0.000
18 Tm 0.500 0.500 0.500

Values from the calculation:
ΔH_f (0 K)   -0.36 eV/atom
Crystal system   tetragonal
Total energy   -4.3329 eV per atom
M_tot   0.0 μB/cell

No. 6
This record from Alexandria via LeMat-Bulk describes a relaxed AcTmPb crystal. The functional is PBE-GGA.

Unit cell a=4.829 b=4.829 c=9.551 alpha=104.65 beta=104.65 gamma=90.00
Positions (direct):
1 Ac 0.675 0.675 0.351
2 Ac 0.325 0.325 0.649
3 Pb 0.124 0.124 0.247
4 Pb 0.876 0.876 0.753
5 Tm 0.000 0.500 0.000
6 Tm 0.500 0.000 0.000

Values from the calculation:
ΔH_f (0 K)   -0.45 eV/atom
Crystal system   tetragonal
Total energy   -4.5443 eV per atom
M_tot   1.4 μB/cell

No. 7
This record from Alexandria via LeMat-Bulk describes a relaxed Ac2TmPb crystal. The functional is PBE-GGA.

Unit cell a=7.148 b=7.148 c=7.373 alpha=113.02 beta=113.02 gamma=101.15
Positions (direct):
1 Ac 0.303 0.303 0.000
2 Ac 0.750 0.250 0.500
3 Ac 0.250 0.750 0.500
4 Ac 0.697 0.697 0.000
5 Tm 0.206 0.794 0.000
6 Tm 0.794 0.206 0.000
7 Pb 0.206 0.206 0.412
8 Pb 0.794 0.794 0.588

Values from the calculation:
ΔH_f (0 K)   -0.24 eV/atom
Crystal system   orthorhombic
Total energy   -4.3352 eV per atom
M_tot   0.0 μB/cell

No. 8
This record from Alexandria via LeMat-Bulk describes a relaxed Ac2TmPb crystal. The functional is PBE-GGA.

Unit cell a=5.131 b=5.243 c=5.243 alpha=90.00 beta=90.00 gamma=90.00
Positions (direct):
1 Pb 0.500 0.000 0.000
2 Ac 0.000 0.000 0.500
3 Ac 0.000 0.500 0.000
4 Tm 0.500 0.500 0.500

Values from the calculation:
ΔH_f (0 K)   -0.20 eV/atom
Crystal system   tetragonal
Total energy   -4.3041 eV per atom
M_tot   0.0 μB/cell